Entry 1:
{
  "formula": "ZrPd5Au",
  "functional": "PBE-GGA",
  "state": "optimized geometry",
  "formation_energy_ev_per_atom": -0.055,
  "total_energy_ev_per_atom": -5.45,
  "relative_energy_kj_per_mol_fu": 151,
  "magnetic_moment_mub_per_cell": 0.00,
  "lattice_angstrom": [[4.735, -4.794, 0.000], [4.735, 4.794, 0.000], [-3.410, 0.000, 6.012]],
  "species": ["Zr", "Zr", "Pd", "Pd", "Pd", "Pd", "Pd", "Pd", "Pd", "Pd", "Pd", "Pd", "Au", "Au"],
  "fractional_positions": [[0.027, 0.973, 0.750], [0.973, 0.027, 0.250], [0.087, 0.324, 0.654], [0.105, 0.681, 0.028], [0.290, 0.710, 0.750], [0.319, 0.895, 0.472], [0.324, 0.087, 0.154], [0.676, 0.913, 0.846], [0.681, 0.105, 0.528], [0.710, 0.290, 0.250], [0.895, 0.319, 0.972], [0.913, 0.676, 0.346], [0.500, 0.500, 0.000], [0.500, 0.500, 0.500]]
}

=====

Entry 2:
{
  "formula": "Zr2Pd12Au5",
  "functional": "PBE-GGA",
  "state": "optimized geometry",
  "formation_energy_ev_per_atom": -0.275,
  "total_energy_ev_per_atom": -5.32,
  "magnetic_moment_mub_per_cell": 0.00,
  "lattice_angstrom": [[6.997, -4.630, 0.000], [6.997, 4.630, 0.000], [-1.158, 0.000, 4.983]],
  "species": ["Zr", "Zr", "Pd", "Pd", "Pd", "Pd", "Pd", "Pd", "Pd", "Pd", "Pd", "Pd", "Pd", "Pd", "Au", "Au", "Au", "Au", "Au"],
  "fractional_positions": [[0.221, 0.779, 0.000], [0.779, 0.221, 0.000], [0.062, 0.546, 0.801], [0.137, 0.137, 0.958], [0.151, 0.647, 0.388], [0.353, 0.849, 0.612], [0.450, 0.450, 0.719], [0.454, 0.938, 0.199], [0.546, 0.062, 0.801], [0.550, 0.550, 0.281], [0.647, 0.151, 0.388], [0.849, 0.353, 0.612], [0.863, 0.863, 0.042], [0.938, 0.454, 0.199], [0.000, 0.000, 0.500], [0.225, 0.225, 0.510], [0.342, 0.342, 0.121], [0.658, 0.658, 0.879], [0.775, 0.775, 0.490]]
}

=====

Entry 3:
{
  "formula": "Zr2Pd3Au2",
  "functional": "PBE-GGA",
  "state": "optimized geometry",
  "formation_energy_ev_per_atom": -0.705,
  "total_energy_ev_per_atom": -6.31,
  "relative_energy_kj_per_mol_fu": 0,
  "magnetic_moment_mub_per_cell": 0.00,
  "lattice_angstrom": [[4.670, -1.977, 0.000], [4.670, 1.977, 0.000], [-0.699, 0.000, 6.667]],
  "species": ["Zr", "Zr", "Pd", "Pd", "Pd", "Au", "Au"],
  "fractional_positions": [[0.080, 0.080, 0.240], [0.920, 0.920, 0.760], [0.211, 0.211, 0.638], [0.500, 0.500, 0.500], [0.789, 0.789, 0.362], [0.362, 0.362, 0.075], [0.638, 0.638, 0.925]]
}

=====

Entry 4:
{
  "formula": "ZrPd6Au2",
  "functional": "PBE-GGA",
  "state": "optimized geometry",
  "formation_energy_ev_per_atom": -0.399,
  "total_energy_ev_per_atom": -5.54,
  "relative_energy_kj_per_mol_fu": 17,
  "magnetic_moment_mub_per_cell": 0.00,
  "lattice_angstrom": [[4.482, -2.052, 0.000], [4.482, 2.052, 0.000], [-2.613, 0.000, 8.052]],
  "species": ["Zr", "Pd", "Pd", "Pd", "Pd", "Pd", "Pd", "Au", "Au"],
  "fractional_positions": [[0.000, 0.000, 0.000], [0.005, 0.005, 0.331], [0.338, 0.338, 0.113], [0.338, 0.338, 0.447], [0.662, 0.662, 0.553], [0.662, 0.662, 0.887], [0.995, 0.995, 0.669], [0.326, 0.326, 0.772], [0.674, 0.674, 0.228]]
}

=====

Entry 5:
{
  "formula": "ZrPd7Au4",
  "functional": "PBE-GGA",
  "state": "optimized geometry",
  "formation_energy_ev_per_atom": -0.323,
  "total_energy_ev_per_atom": -5.16,
  "relative_energy_kj_per_mol_fu": 0,
  "magnetic_moment_mub_per_cell": 0.00,
  "lattice_angstrom": [[4.943, 0.000, 0.000], [0.038, 5.761, 0.000], [2.458, 1.577, 7.005]],
  "species": ["Zr", "Pd", "Pd", "Pd", "Pd", "Pd", "Pd", "Pd", "Au", "Au", "Au", "Au"],
  "fractional_positions": [[0.000, 0.000, 0.000], [0.000, 0.500, 0.000], [0.168, 0.921, 0.327], [0.327, 0.326, 0.675], [0.497, 0.751, 0.001], [0.503, 0.249, 0.999], [0.673, 0.674, 0.325], [0.832, 0.079, 0.673], [0.167, 0.421, 0.332], [0.336, 0.829, 0.666], [0.664, 0.171, 0.334], [0.833, 0.579, 0.668]]
}

=====

Entry 6:
{
  "formula": "Zr2PdAu",
  "functional": "PBE-GGA",
  "state": "optimized geometry",
  "formation_energy_ev_per_atom": -0.263,
  "total_energy_ev_per_atom": -6.65,
  "magnetic_moment_mub_per_cell": 0.00,
  "lattice_angstrom": [[3.720, -2.368, 0.000], [3.720, 2.368, 0.000], [-2.324, 0.000, 5.013]],
  "species": ["Zr", "Zr", "Pd", "Au"],
  "fractional_positions": [[0.000, 0.000, 0.000], [0.229, 0.229, 0.585], [0.393, 0.393, 0.137], [0.822, 0.822, 0.409]]
}

=====

Entry 7:
{
  "formula": "Zr2Pd7Au3",
  "functional": "PBE-GGA",
  "state": "optimized geometry",
  "formation_energy_ev_per_atom": -0.252,
  "total_energy_ev_per_atom": -5.53,
  "relative_energy_kj_per_mol_fu": 138,
  "magnetic_moment_mub_per_cell": 0.00,
  "lattice_angstrom": [[4.054, 0.000, 0.000], [0.000, 3.619, 0.000], [-2.009, 0.000, 14.921]],
  "species": ["Zr", "Zr", "Pd", "Pd", "Pd", "Pd", "Pd", "Pd", "Pd", "Au", "Au", "Au"],
  "fractional_positions": [[0.138, 0.000, 0.275], [0.862, 0.000, 0.725], [0.073, 0.500, 0.145], [0.223, 0.000, 0.445], [0.424, 0.000, 0.849], [0.500, 0.500, 0.000], [0.576, 0.000, 0.151], [0.777, 0.000, 0.555], [0.927, 0.500, 0.855], [0.000, 0.000, 0.000], [0.312, 0.500, 0.625], [0.688, 0.500, 0.375]]
}

=====

Entry 8:
{
  "formula": "ZrPdAu",
  "functional": "PBE-GGA",
  "state": "optimized geometry",
  "formation_energy_ev_per_atom": -0.531,
  "total_energy_ev_per_atom": -6.20,
  "relative_energy_kj_per_mol_fu": 59,
  "magnetic_moment_mub_per_cell": 0.00,
  "lattice_angstrom": [[4.669, 0.000, 0.000], [-2.334, 4.043, 0.000], [0.000, 0.000, 2.897]],
  "species": ["Zr", "Pd", "Au"],
  "fractional_positions": [[0.000, 0.000, 0.000], [0.667, 0.333, 0.628], [0.333, 0.667, 0.448]]
}

=====

Entry 9:
{
  "formula": "ZrPd8Au2",
  "functional": "PBE-GGA",
  "state": "optimized geometry",
  "formation_energy_ev_per_atom": -0.153,
  "total_energy_ev_per_atom": -5.30,
  "relative_energy_kj_per_mol_fu": 22,
  "magnetic_moment_mub_per_cell": 0.00,
  "lattice_angstrom": [[3.827, -6.387, 0.000], [3.827, 6.387, 0.000], [-3.421, 0.000, 3.889]],
  "species": ["Zr", "Pd", "Pd", "Pd", "Pd", "Pd", "Pd", "Pd", "Pd", "Au", "Au"],
  "fractional_positions": [[0.000, 0.000, 0.000], [0.099, 0.322, 0.609], [0.215, 0.785, 0.000], [0.322, 0.099, 0.609], [0.409, 0.409, 0.176], [0.591, 0.591, 0.824], [0.678, 0.901, 0.391], [0.785, 0.215, 0.000], [0.901, 0.678, 0.391], [0.308, 0.692, 0.500], [0.692, 0.308, 0.500]]
}

=====

Entry 10:
{
  "formula": "Zr4Pd7Au",
  "functional": "PBE-GGA",
  "state": "optimized geometry",
  "formation_energy_ev_per_atom": -0.392,
  "total_energy_ev_per_atom": -6.54,
  "magnetic_moment_mub_per_cell": 0.00,
  "lattice_angstrom": [[5.337, -2.507, 0.000], [5.337, 2.507, 0.000], [-4.871, 0.000, 8.597]],
  "species": ["Zr", "Zr", "Zr", "Zr", "Pd", "Pd", "Pd", "Pd", "Pd", "Pd", "Pd", "Au"],
  "fractional_positions": [[0.090, 0.090, 0.283], [0.267, 0.267, 0.848], [0.733, 0.733, 0.152], [0.910, 0.910, 0.717], [0.000, 0.000, 0.500], [0.134, 0.134, 0.028], [0.291, 0.291, 0.591], [0.427, 0.427, 0.171], [0.573, 0.573, 0.829], [0.709, 0.709, 0.409], [0.866, 0.866, 0.972], [0.500, 0.500, 0.500]]
}